Material: LaDyAg3
Method: DFT, PBE-GGA
State: relaxed

a = 3.651 Å, b = 4.835 Å, c = 14.220 Å
α = 90.00°, β = 97.38°, γ = 90.00°
Element x y z (fractional)
La (0.924, 0.750, 0.849)
La (0.076, 0.250, 0.151)
Dy (0.210, 0.750, 0.419)
Dy (0.790, 0.250, 0.581)
Ag (0.623, 0.750, 0.247)
Ag (0.377, 0.250, 0.753)
Ag (0.524, 0.750, 0.049)
Ag (0.476, 0.250, 0.951)
Ag (0.680, 0.250, 0.360)
Ag (0.320, 0.750, 0.640)

Results
**ΔH_f (0 K)**: -0.2778 eV per atom

Material: La2DyAg6
Method: DFT, PBE-GGA
State: relaxed

a = 3.584 Å, b = 8.358 Å, c = 8.358 Å
α = 60.01°, β = 89.99°, γ = 89.99°
Element x y z (fractional)
La (0.000, 0.333, 0.333)
La (0.000, 0.667, 0.667)
Dy (0.000, 0.000, 0.000)
Ag (0.500, 0.670, 0.000)
Ag (0.500, 0.000, 0.330)
Ag (0.500, 0.330, 0.000)
Ag (0.500, 0.670, 0.330)
Ag (0.500, 0.000, 0.670)
Ag (0.500, 0.330, 0.670)

Results
**ΔH_f (0 K)**: -0.2632 eV per atom

Material: La2Dy3Ag2
Method: DFT, PBE-GGA
State: relaxed

a = 5.479 Å, b = 5.480 Å, c = 8.487 Å
α = 108.80°, β = 90.00°, γ = 120.00°
Element x y z (fractional)
La (0.924, 0.847, 0.271)
La (0.076, 0.153, 0.729)
Dy (0.500, 0.000, 0.000)
Dy (0.661, 0.321, 0.482)
Dy (0.339, 0.679, 0.518)
Ag (0.786, 0.572, 0.860)
Ag (0.214, 0.428, 0.140)

Results
**ΔH_f (0 K)**: -0.0954 eV per atom

Material: LaDyAg4
Method: DFT, PBE-GGA
State: relaxed

a = 5.400 Å, b = 5.405 Å, c = 5.476 Å
α = 60.42°, β = 90.01°, γ = 90.02°
Element x y z (fractional)
La (0.001, 0.502, 0.495)
Dy (0.501, 0.002, 0.495)
Ag (0.501, 0.680, 0.139)
Ag (0.501, 0.324, 0.852)
Ag (0.001, 0.170, 0.158)
Ag (0.001, 0.833, 0.832)

Results
**Distance to the lowest polymorph of the same formula**: 0.003 eV per atom
**ΔH_f (0 K)**: -0.2585 eV per atom

Material: LaDyAg2
Method: DFT, PBE-GGA
State: relaxed

a = 3.672 Å, b = 5.320 Å, c = 5.320 Å
α = 90.00°, β = 90.00°, γ = 90.00°
Element x y z (fractional)
La (0.500, 0.000, 0.000)
Ag (0.000, 0.000, 0.500)
Ag (0.000, 0.500, 0.000)
Dy (0.500, 0.500, 0.500)

Results
**ΔH_f (0 K)**: -0.2688 eV per atom

Material: La6DyAg
Method: DFT, PBE-GGA
State: relaxed

a = 6.832 Å, b = 6.867 Å, c = 8.553 Å
α = 66.52°, β = 66.78°, γ = 59.93°
Element x y z (fractional)
La (0.038, 0.436, 0.737)
La (0.787, 0.033, 0.738)
La (0.561, 0.214, 0.262)
La (0.213, 0.967, 0.262)
La (0.962, 0.564, 0.263)
La (0.439, 0.786, 0.738)
Dy (0.500, 0.500, 0.500)
Ag (0.000, 0.000, 0.000)

Results
**ΔH_f (0 K)**: 0.3239 eV per atom

Material: LaDyAg
Method: DFT, PBE-GGA
State: relaxed

a = 3.919 Å, b = 5.099 Å, c = 5.099 Å
α = 120.00°, β = 90.00°, γ = 90.00°
Element x y z (fractional)
La (0.653, 0.667, 0.333)
Ag (0.218, 0.333, 0.667)
Dy (0.129, 0.000, 0.000)

Results
**Distance to the lowest polymorph of the same formula**: 0.142 eV per atom
**ΔH_f (0 K)**: -0.0307 eV per atom

Material: La3DyAg2
Method: DFT, PBE-GGA
State: relaxed

a = 5.334 Å, b = 7.036 Å, c = 9.599 Å
α = 90.00°, β = 90.00°, γ = 90.00°
Element x y z (fractional)
La (0.000, 0.497, 0.937)
La (0.000, 0.997, 0.063)
La (0.500, 0.664, 0.169)
La (0.500, 0.164, 0.831)
La (0.000, 0.333, 0.336)
La (0.000, 0.833, 0.664)
Dy (0.500, 0.506, 0.557)
Dy (0.500, 0.006, 0.443)
Ag (0.500, 0.721, 0.838)
Ag (0.500, 0.221, 0.162)
Ag (0.000, 0.280, 0.649)
Ag (0.000, 0.780, 0.351)

Results
**ΔH_f (0 K)**: -0.1569 eV per atom